Record 1
# PBE-GGA GaSiTe, optimized geometry
# M_tot (μB per atom): 0.000
# SG: Cm
# Formation energy (no corrections) (eV per atom): -0.034
data_GaSiTe
_cell_length_a 8.9610
_cell_length_b 4.0556
_cell_length_c 10.9579
_cell_angle_alpha 90.00
_cell_angle_beta 124.54
_cell_angle_gamma 90.00
_symmetry_space_group_name_H-M 'P 1'
_symmetry_Int_Tables_number 1
loop_
_symmetry_equiv_pos_as_xyz
'x,y,z'
loop_
_atom_site_label
_atom_site_fract_x
_atom_site_fract_y
_atom_site_fract_z
Ga1 0.3547 0.0000 0.7436
Ga2 0.3547 0.5000 0.2436
Ga3 0.0195 0.0000 0.5360
Ga4 0.0195 0.5000 0.0360
Si1 0.7840 0.5000 0.0848
Si2 0.6040 0.0000 0.0175
Si3 0.6040 0.5000 0.5175
Si4 0.7840 0.0000 0.5848
Te1 0.0271 0.5000 0.3751
Te2 0.5466 0.5000 0.7234
Te3 0.0271 0.0000 0.8751
Te4 0.5466 0.0000 0.2234

Record 2
# PBE-GGA GaSiTe, optimized geometry
# M_tot (μB per atom): 0.000
# SG: Cm
# Formation energy (no corrections) (eV per atom): -0.038
data_GaSiTe
_cell_length_a 4.2680
_cell_length_b 13.4217
_cell_length_c 6.1656
_cell_angle_alpha 90.00
_cell_angle_beta 112.63
_cell_angle_gamma 90.00
_symmetry_space_group_name_H-M 'P 1'
_symmetry_Int_Tables_number 1
loop_
_symmetry_equiv_pos_as_xyz
'x,y,z'
loop_
_atom_site_label
_atom_site_fract_x
_atom_site_fract_y
_atom_site_fract_z
Si1 0.3210 0.0894 0.8052
Si2 0.3210 0.5894 0.3052
Si3 0.3210 0.4106 0.3052
Si4 0.3210 0.9106 0.8052
Ga1 0.7323 0.8461 0.6521
Ga2 0.7323 0.3461 0.1521
Ga3 0.7323 0.1539 0.6521
Ga4 0.7323 0.6539 0.1521
Te1 0.7682 0.3556 0.7123
Te2 0.7682 0.6444 0.7123
Te3 0.7682 0.8556 0.2123
Te4 0.7682 0.1444 0.2123

Record 3
# PBE-GGA GaSiTe, optimized geometry
# M_tot (μB per atom): 0.000
# SG: Cm
# N(E_F) (states/eV/cell): 4.20
# Formation energy (no corrections) (eV per atom): 0.074
data_GaSiTe
_cell_length_a 6.3259
_cell_length_b 5.1039
_cell_length_c 9.9081
_cell_angle_alpha 90.00
_cell_angle_beta 110.69
_cell_angle_gamma 90.00
_symmetry_space_group_name_H-M 'P 1'
_symmetry_Int_Tables_number 1
loop_
_symmetry_equiv_pos_as_xyz
'x,y,z'
loop_
_atom_site_label
_atom_site_fract_x
_atom_site_fract_y
_atom_site_fract_z
Ga1 0.2116 0.0000 0.3824
Ga2 0.6063 0.0000 0.9222
Ga3 0.2116 0.5000 0.8824
Ga4 0.6063 0.5000 0.4222
Si1 0.8117 0.5000 0.7069
Si2 0.8117 0.0000 0.2069
Si3 0.5979 0.0000 0.3622
Si4 0.5979 0.5000 0.8622
Te1 0.2419 0.0000 0.0254
Te2 0.2419 0.5000 0.5254
Te3 0.8648 0.0000 0.6364
Te4 0.8648 0.5000 0.1364

Record 4
# PBE-GGA GaSiTe, optimized geometry
# M_tot (μB per atom): 0.000
# SG: P1
# N(E_F) (states/eV/cell): 0.46
# Formation energy (no corrections) (eV per atom): -0.013
data_GaSiTe
_cell_length_a 4.0709
_cell_length_b 4.1531
_cell_length_c 10.0444
_cell_angle_alpha 78.83
_cell_angle_beta 89.94
_cell_angle_gamma 89.89
_symmetry_space_group_name_H-M 'P 1'
_symmetry_Int_Tables_number 1
loop_
_symmetry_equiv_pos_as_xyz
'x,y,z'
loop_
_atom_site_label
_atom_site_fract_x
_atom_site_fract_y
_atom_site_fract_z
Ga1 0.5089 0.9840 0.8370
Ga2 0.4468 0.6381 0.5179
Si1 0.9342 0.2576 0.2610
Si2 0.4330 0.1979 0.3904
Te1 0.9433 0.5495 0.7004
Te2 0.9788 0.8348 0.0971

Record 5
# PBE-GGA GaSiTe, optimized geometry
# M_tot (μB per atom): 0.000
# SG: P1
# Formation energy (no corrections) (eV per atom): -0.067
data_GaSiTe
_cell_length_a 4.0128
_cell_length_b 5.3518
_cell_length_c 7.9015
_cell_angle_alpha 80.16
_cell_angle_beta 80.42
_cell_angle_gamma 81.76
_symmetry_space_group_name_H-M 'P 1'
_symmetry_Int_Tables_number 1
loop_
_symmetry_equiv_pos_as_xyz
'x,y,z'
loop_
_atom_site_label
_atom_site_fract_x
_atom_site_fract_y
_atom_site_fract_z
Te1 0.8336 0.3183 0.7667
Te2 0.2263 0.8001 0.0693
Si1 0.8559 0.1985 0.4566
Si2 0.4035 0.9413 0.4755
Ga1 0.2839 0.6600 0.7506
Ga2 0.6900 0.6198 0.2851

Record 6
# PBE-GGA GaSiTe, optimized geometry
# M_tot (μB per atom): 0.000
# SG: C2
# Formation energy (no corrections) (eV per atom): -0.014
data_GaSiTe
_cell_length_a 8.4311
_cell_length_b 4.3041
_cell_length_c 11.5348
_cell_angle_alpha 90.00
_cell_angle_beta 125.41
_cell_angle_gamma 90.00
_symmetry_space_group_name_H-M 'P 1'
_symmetry_Int_Tables_number 1
loop_
_symmetry_equiv_pos_as_xyz
'x,y,z'
loop_
_atom_site_label
_atom_site_fract_x
_atom_site_fract_y
_atom_site_fract_z
Ga1 0.2820 0.9625 0.5194
Ga2 0.2820 0.4625 0.0194
Ga3 0.7180 0.4625 0.9806
Ga4 0.7180 0.9625 0.4806
Te1 0.6688 0.1353 0.6907
Te2 0.3312 0.6353 0.8093
Te3 0.6688 0.6353 0.1907
Te4 0.3312 0.1353 0.3093
Si1 0.8327 0.4640 0.4524
Si2 0.1673 0.4640 0.5476
Si3 0.8327 0.9640 0.9524
Si4 0.1673 0.9640 0.0476

| no. | E (eV/atom) |
| --- | --- |
| 1 | -3.90 |
| 2 | -3.90 |
| 3 | -3.79 |
| 4 | -3.88 |
| 5 | -3.93 |
| 6 | -3.88 |